Below is a relaxed CaAc2Sn5 crystal, with properties calculated at the PBE level.

Geometry as POSCAR:
```
CaAc2Sn5
1.0
7.419 0.000 0.000
0.000 7.419 0.000
0.000 0.000 8.975
Ca Ac Sn
2 4 10
Cartesian
0.000 0.000 0.000
3.710 3.710 4.488
0.000 3.710 0.879
0.000 3.710 5.366
3.710 0.000 0.879
3.710 0.000 5.366
0.000 0.000 5.350
1.574 1.574 3.057
1.574 5.845 3.057
2.135 2.135 7.545
2.135 5.284 7.545
3.710 3.710 0.862
5.284 2.135 7.545
5.284 5.284 7.545
5.845 1.574 3.057
5.845 5.845 3.057
```

## Properties
* DOS(E_F): 9.5 states/eV/cell
* E_tot: -4.3463 eV/atom